Density functional theory data (PBE) for a relaxed Au2CCl crystal.

Cell: 5.9744 5.9744 6.1252 Å, 60.81 60.81 90.00°
With the nearest neighbours (Å) after each atom.
Element x y z (fractional)
C (0.5000, 0.5000, 0.0000)  4 Au 2.05
C (0.2500, 0.7500, 0.5000)  4 Au 2.05
Au (0.5212, 0.1250, 0.2500)  2 C 2.05
Au (0.2288, 0.6250, 0.2500)  2 C 2.05
Au (0.3750, 0.4788, 0.7500)  2 C 2.05
Au (0.8750, 0.7712, 0.7500)  2 C 2.05
Cl (0.0000, 0.0000, 0.0000)  4 Au 2.82
Cl (0.7500, 0.2500, 0.5000)  4 Au 2.82

Values from the calculation:
Distance to the lowest polymorph of the same formula = 0.000 eV/atom
Crystal system = tetragonal
Total DFT energy (no corrections) = -0.2652 Ry/atom
N(E_F) = 2.65 states/eV/cell
Energy relative to the elements, uncorrected = 0.80 eV/atom

Density functional theory data (PBE) for a relaxed TaSn2BIr crystal.

Cell: 5.3178 4.1553 5.3178 Å, 90.00 90.00 90.00°
With the nearest neighbours (Å) after each atom.
Element x y z (fractional)
B (0.0000, 0.5000, 0.0000)  2 Ta 2.08
Ir (0.5000, 0.5000, 0.5000)  8 Sn 3.37, 4 B 3.76
Sn (0.0000, 0.0000, 0.5000)  2 Ta 2.66
Sn (0.5000, 0.0000, 0.0000)  2 Ta 2.66
Ta (0.0000, 0.0000, 0.0000)  2 B 2.08

Values from the calculation:
Crystal system = tetragonal
Calculated formation energy = 1524 meV per atom
Total DFT energy (no corrections) = -0.4083 Ry/atom
N(E_F) = 5.52 states/eV/cell

Density functional theory data (PBE) for a relaxed Li5LaS4 crystal.

Cell: 4.0499 7.2012 8.0089 Å, 116.72 104.65 90.00°
With the nearest neighbours (Å) after each atom.
Element x y z (fractional)
Li (0.8207, 0.0340, 0.6415)  4 S 2.50-2.58
Li (0.8207, 0.6075, 0.6415)  4 S 2.50-2.58
Li (0.1793, 0.3925, 0.3585)  4 S 2.50-2.58
Li (0.1793, 0.9660, 0.3585)  4 S 2.50-2.58
Li (0.5000, 0.5000, 0.0000)  4 S 2.61
La (0.5000, 0.0000, 0.0000)  6 S 2.82-2.93
S (0.0000, 0.7278, 0.0000)  4 Li 2.50-2.61
S (0.2868, 0.7868, 0.5736)  6 Li 2.54-2.58
S (0.7132, 0.2132, 0.4264)  6 Li 2.54-2.58
S (0.0000, 0.2722, 0.0000)  4 Li 2.50-2.61

Values from the calculation:
Crystal system = orthorhombic
Total DFT energy (no corrections) = -0.3372 Ry/atom
N(E_F) = 0.00 states/eV/cell
Energy relative to the elements, uncorrected = -1.49 eV/atom

Density functional theory data (PBE) for a relaxed CsSrCoCl6 crystal.

Cell: 6.9397 6.9401 7.4684 Å, 90.01 90.00 60.00°
With the nearest neighbours (Å) after each atom.
Element x y z (fractional)
Cs (0.0000, 0.0000, 0.0000)  6 Cl 3.52
Sr (0.6666, 0.6667, 0.5000)  6 Cl 2.90
Co (0.3333, 0.3333, 0.5000)  6 Cl 2.29
Cl (0.0657, 0.3369, 0.3191)  1 Co 2.29
Cl (0.3369, 0.0657, 0.6809)  1 Co 2.29
Cl (0.5973, 0.3370, 0.6809)  1 Co 2.29
Cl (0.0657, 0.5973, 0.6809)  1 Co 2.29
Cl (0.3369, 0.5973, 0.3191)  1 Co 2.29
Cl (0.5973, 0.0657, 0.3191)  1 Co 2.29

Values from the calculation:
Crystal system = trigonal
Total DFT energy (no corrections) = -0.2786 Ry/atom
Energy relative to the elements, uncorrected = -1.49 eV/atom

Density functional theory data (PBE) for a relaxed TaNiSe2N crystal.

Cell: 5.1367 5.1367 3.8594 Å, 90.00 90.00 90.00°
With the nearest neighbours (Å) after each atom.
Element x y z (fractional)
Ni (0.5000, 0.5000, 0.5000)  8 Se 3.21
N (0.0000, 0.0000, 0.5000)  2 Ta 1.93
Se (0.0000, 0.5000, 0.0000)  2 Ta 2.57
Se (0.5000, 0.0000, 0.0000)  2 Ta 2.57
Ta (0.0000, 0.0000, 0.0000)  2 N 1.93

Values from the calculation:
Distance to the lowest polymorph of the same formula = 0.000 eV/atom
Crystal system = tetragonal
Total DFT energy (no corrections) = -0.4565 Ry/atom
N(E_F) = 6.93 states/eV/cell
Energy relative to the elements, uncorrected = 0.38 eV/atom

Density functional theory data (PBE) for a relaxed TaMn4Cu crystal.

Cell: 4.7154 4.7154 4.7154 Å, 60.00 60.00 60.00°
With the nearest neighbours (Å) after each atom.
Element x y z (fractional)
Ta (0.7500, 0.7500, 0.7500)  12 Mn 2.77, 4 Cu 2.89
Mn (0.8793, 0.3736, 0.3736)  6 Mn 2.33-2.38
Mn (0.3736, 0.3736, 0.3736)  6 Mn 2.33-2.38
Mn (0.3736, 0.3736, 0.8793)  6 Mn 2.33-2.38
Mn (0.3736, 0.8793, 0.3736)  6 Mn 2.33-2.38
Cu (0.0000, 0.0000, 0.0000)  12 Mn 2.76, 4 Ta 2.89

Values from the calculation:
Crystal system = cubic
Calculated formation energy = 24 meV per atom
Total DFT energy (no corrections) = -0.6429 Ry/atom
N(E_F) = 6.78 states/eV/cell

Density functional theory data (PBE) for a relaxed NaNbSe3 crystal.

Cell: 5.1056 5.1056 5.1056 Å, 90.00 90.00 90.00°
With the nearest neighbours (Å) after each atom.
Element x y z (fractional)
Na (0.5000, 0.5000, 0.5000)  12 Se 3.61
Nb (0.0000, 0.0000, 0.0000)  6 Se 2.55
Se (0.0000, 0.5000, 0.0000)  2 Nb 2.55
Se (0.0000, 0.0000, 0.5000)  2 Nb 2.55
Se (0.5000, 0.0000, 0.0000)  2 Nb 2.55

Values from the calculation:
Distance to the lowest polymorph of the same formula = 0.154 eV/atom
Crystal system = cubic
Total DFT energy (no corrections) = -0.3660 Ry/atom
N(E_F) = 2.69 states/eV/cell
Energy relative to the elements, uncorrected = -0.61 eV/atom

Density functional theory data (PBE) for a relaxed Na2SbPt2 crystal.

Cell: 6.8024 6.8024 4.7966 Å, 90.00 90.00 90.00°
With the nearest neighbours (Å) after each atom.
Element x y z (fractional)
Sb (0.0000, 0.0000, 0.0000)  4 Pt 2.64
Sb (0.5000, 0.5000, 0.0000)  4 Pt 2.64
Pt (0.3621, 0.8621, 0.0000)  2 Sb 2.64, 1 Pt 2.65
Pt (0.8621, 0.6379, 0.0000)  2 Sb 2.64, 1 Pt 2.65
Pt (0.6379, 0.1379, 0.0000)  2 Sb 2.64, 1 Pt 2.65
Pt (0.1379, 0.3621, 0.0000)  2 Sb 2.64, 1 Pt 2.65
Na (0.1662, 0.6662, 0.5000)  6 Pt 3.05-3.17, 1 Na 3.20
Na (0.6662, 0.8338, 0.5000)  6 Pt 3.05-3.17, 1 Na 3.20
Na (0.8338, 0.3338, 0.5000)  6 Pt 3.05-3.17, 1 Na 3.20
Na (0.3338, 0.1662, 0.5000)  6 Pt 3.05-3.17, 1 Na 3.20

Values from the calculation:
Distance to the lowest polymorph of the same formula = 0.160 eV/atom
Crystal system = tetragonal
Total DFT energy (no corrections) = -0.2991 Ry/atom
N(E_F) = 5.52 states/eV/cell
Energy relative to the elements, uncorrected = -0.30 eV/atom

Density functional theory data (PBE) for a relaxed Mn2VCr2 crystal.

Cell: 2.8168 2.8071 7.7188 Å, 79.52 90.00 90.00°
With the nearest neighbours (Å) after each atom.
Element x y z (fractional)
Mn (0.5000, 0.4047, 0.1906)  4 Cr 2.44, 4 V 2.46
Mn (0.5000, 0.5953, 0.8094)  4 Cr 2.44, 4 V 2.46
V (0.0000, 0.0000, 0.0000)  8 Mn 2.46
Cr (0.0000, 0.1886, 0.6227)  2 Cr 2.33, 4 Mn 2.44
Cr (0.0000, 0.8114, 0.3773)  2 Cr 2.33, 4 Mn 2.44

Values from the calculation:
Distance to the lowest polymorph of the same formula = 0.000 eV/atom
Crystal system = orthorhombic
Calculated formation energy = 185 meV per atom
Total DFT energy (no corrections) = -0.6729 Ry/atom
N(E_F) = 4.95 states/eV/cell

Density functional theory data (PBE) for a relaxed Ac4Te4S crystal.

Cell: 7.8085 7.8085 8.7498 Å, 116.50 116.50 90.00°
With the nearest neighbours (Å) after each atom.
Element x y z (fractional)
Ac (0.6590, 0.6590, 0.7405)  1 S 2.92
Ac (0.3410, 0.9185, 0.2595)  1 S 2.92
Ac (0.0815, 0.0815, 0.7405)  1 S 2.92
Ac (0.9185, 0.3410, 0.2595)  1 S 2.92
Te (0.5000, 0.0000, 0.0000)  4 Ac 3.30
Te (0.0000, 0.5000, 0.0000)  4 Ac 3.30
Te (0.2999, 0.2999, 0.5997)  4 Ac 3.28-3.33
Te (0.7001, 0.7001, 0.4003)  4 Ac 3.28-3.33
S (0.0000, 0.0000, 0.0000)  4 Ac 2.92

Values from the calculation:
Crystal system = tetragonal
Total DFT energy (no corrections) = -0.3734 Ry/atom
N(E_F) = 5.16 states/eV/cell
Energy relative to the elements, uncorrected = -1.40 eV/atom

Density functional theory data (PBE) for a relaxed NaMn2Al4 crystal.

Cell: 4.7841 4.7841 7.3316 Å, 70.96 70.96 90.00°
With the nearest neighbours (Å) after each atom.
Element x y z (fractional)
Na (0.0000, 0.0000, 0.0000)  4 Al 2.39
Mn (0.5945, 0.5945, 0.8110)  1 Mn 2.46, 5 Al 2.52-2.69
Mn (0.4055, 0.4055, 0.1890)  1 Mn 2.46, 5 Al 2.52-2.69
Al (0.7886, 0.7886, 0.4228)  1 Mn 2.52, 1 Na 2.75
Al (0.2114, 0.2114, 0.5772)  1 Mn 2.52, 1 Na 2.75
Al (0.0000, 0.5000, 0.0000)  2 Na 2.39
Al (0.5000, 0.0000, 0.0000)  2 Na 2.39

Values from the calculation:
Crystal system = tetragonal
Calculated formation energy = 899 meV per atom
Total DFT energy (no corrections) = -0.2975 Ry/atom
N(E_F) = 4.24 states/eV/cell

Density functional theory data (PBE) for a relaxed YMnCo crystal.

Cell: 5.1484 5.1484 5.1484 Å, 87.16 61.09 117.84°
With the nearest neighbours (Å) after each atom.
Element x y z (fractional)
Y (0.5000, 0.7449, 0.7551)  6 Co 2.93-3.10, 6 Mn 3.01-3.06, 4 Y 3.16-3.20
Y (0.0000, 0.0051, 0.9949)  6 Co 2.93-3.10, 6 Mn 3.01-3.06, 4 Y 3.16-3.20
Mn (0.2500, 0.8750, 0.3750)  4 Co 2.57, 2 Mn 2.66
Mn (0.7500, 0.3750, 0.3750)  4 Co 2.57, 2 Mn 2.66
Co (0.7500, 0.3750, 0.8750)  4 Mn 2.57, 2 Co 2.62
Co (0.2500, 0.3750, 0.3750)  4 Mn 2.57, 2 Co 2.62

Values from the calculation:
Distance to the lowest polymorph of the same formula = 0.000 eV/atom
Crystal system = orthorhombic
Calculated formation energy = -69 meV per atom
Total DFT energy (no corrections) = -0.5622 Ry/atom
N(E_F) = 6.94 states/eV/cell

> total DFT energy (no corrections) of number 2 (TaSn2BIr)?

-0.4083 Ry/atom

> total DFT energy (no corrections) of number 2 (TaSn2BIr)?

-0.4083 Ry/atom

What did the fifth record say?
Density functional theory data (PBE) for a relaxed TaNiSe2N crystal.

Cell: 5.1367 5.1367 3.8594 Å, 90.00 90.00 90.00°
With the nearest neighbours (Å) after each atom.
Element x y z (fractional)
Ni (0.5000, 0.5000, 0.5000)  8 Se 3.21
N (0.0000, 0.0000, 0.5000)  2 Ta 1.93
Se (0.0000, 0.5000, 0.0000)  2 Ta 2.57
Se (0.5000, 0.0000, 0.0000)  2 Ta 2.57
Ta (0.0000, 0.0000, 0.0000)  2 N 1.93

Values from the calculation:
Distance to the lowest polymorph of the same formula = 0.000 eV/atom
Crystal system = tetragonal
Total DFT energy (no corrections) = -0.4565 Ry/atom
N(E_F) = 6.93 states/eV/cell
Energy relative to the elements, uncorrected = 0.38 eV/atom